Record 1
Crystalline MnSb2IBr at its relaxed geometry. Source: the Alexandria database, functional PBE. Values from VASP.

```
&SYSTEM
  ibrav = 0, nat = 5, ntyp = 4
/
ATOMIC_SPECIES
Mn 54.94 Mn.upf
Sb 121.76 Sb.upf
I 126.90 I.upf
Br 79.90 Br.upf
ATOMIC_POSITIONS crystal
Mn 0.0000 0.0000 0.0000
Sb 0.0000 0.5000 0.0000
Sb 0.5000 0.0000 0.0000
I 0.0000 0.0000 0.5000
Br 0.5000 0.5000 0.5000
CELL_PARAMETERS angstrom
4.9961 0.0000 0.0000
0.0000 4.9961 0.0000
0.0000 0.0000 5.3912
```

Calculated values
calculated density = 6.23 g cm⁻³
raw total energy = -0.279 Ry per atom
symmetry = P4/mmm
formation energy from raw total energies = 157 kJ/mol of formula units



Record 2
Crystalline LiDyCd at its relaxed geometry. Source: the Alexandria database, functional PBE. Values from VASP.

```
&SYSTEM
  ibrav = 0, nat = 3, ntyp = 3
/
ATOMIC_SPECIES
Li 6.94 Li.upf
Dy 162.50 Dy.upf
Cd 112.41 Cd.upf
ATOMIC_POSITIONS crystal
Li 0.0000 0.0000 0.0000
Dy 0.6667 0.3333 0.5000
Cd 0.3333 0.6667 0.0000
CELL_PARAMETERS angstrom
4.9831 0.0000 0.0000
-2.4915 4.3155 0.0000
0.0000 0.0000 3.2443
```

Calculated values
calculated density = 6.71 g cm⁻³
raw total energy = -0.194 Ry per atom
symmetry = P-6m2
formation energy from the elements = -0.16 eV per atom



Record 3
Crystalline LiInI2N at its relaxed geometry. Source: the Alexandria database, functional PBE. Values from VASP.

```
&SYSTEM
  ibrav = 0, nat = 5, ntyp = 4
/
ATOMIC_SPECIES
Li 6.94 Li.upf
In 114.82 In.upf
I 126.90 I.upf
N 14.01 N.upf
ATOMIC_POSITIONS crystal
Li 0.0000 0.0000 0.0000
In 0.5000 0.5000 0.5000
I 0.0000 0.5000 0.0000
I 0.5000 0.0000 0.0000
N 0.0000 0.0000 0.5000
CELL_PARAMETERS angstrom
5.7061 0.0000 0.0000
0.0000 5.7061 0.0000
0.0000 0.0000 4.1065
```

Calculated values
calculated density = 4.84 g cm⁻³
raw total energy = -0.209 Ry per atom
symmetry = P4/mmm
formation energy from raw total energies = 179 kJ/mol of formula units